The following is a DFT calculation (GGA-PBE) of a geometry-optimized SrCa2Sn4 structure.

Cell lengths 7.2114, 6.4892, 9.8635 Å; angles 109.20, 97.64, 90.00 degrees
Closest atoms and distances in Å follow each position.
Element x y z (fractional)
Ca 0.8451 0.2272 0.6096  7 Sn 3.21-3.52
Ca 0.1549 0.7728 0.3904  7 Sn 3.21-3.52
Ca 0.6549 0.6176 0.3904  7 Sn 3.21-3.52
Ca 0.3451 0.3824 0.6096  7 Sn 3.21-3.52
Sn 0.0113 0.2425 0.3182  2 Sn 2.98-3.04, 1 Ca 3.29
Sn 0.9887 0.7575 0.6818  2 Sn 2.98-3.04, 1 Ca 3.29
Sn 0.4887 0.9242 0.6818  2 Sn 2.98-3.04, 1 Ca 3.29
Sn 0.3119 0.3457 0.1580  3 Sn 2.95-3.04, 2 Ca 3.21-3.28
Sn 0.1881 0.1877 0.8420  3 Sn 2.95-3.04, 2 Ca 3.21-3.28
Sn 0.8119 0.8123 0.1580  3 Sn 2.95-3.04, 2 Ca 3.21-3.28
Sn 0.6881 0.6543 0.8420  3 Sn 2.95-3.04, 2 Ca 3.21-3.28
Sn 0.5113 0.0758 0.3182  2 Sn 2.98-3.04, 1 Ca 3.29
Sr 0.2500 0.7636 0.0000  8 Sn 3.43-3.67
Sr 0.7500 0.2364 0.0000  8 Sn 3.43-3.67

Output
* electronic total energy: -3.648 eV/atom
* total moment: 0.0 μB per formula unit
* energy of formation: -0.548 eV per atom

---

The following is a DFT calculation (GGA-PBE) of a geometry-optimized Sr2Ca2Sn3 structure.

Cell lengths 4.7772, 7.5667, 8.2312 Å; angles 117.69, 90.00, 108.40 degrees
Closest atoms and distances in Å follow each position.
Element x y z (fractional)
Sr 0.1134 0.2268 0.7789  6 Sn 3.42-3.82, 1 Ca 3.67
Sr 0.8866 0.7732 0.2211  6 Sn 3.42-3.82, 1 Ca 3.67
Ca 0.8438 0.6876 0.7232  5 Sn 3.20-3.30
Ca 0.1562 0.3124 0.2768  5 Sn 3.20-3.30
Sn 0.5899 0.1798 0.4632  1 Sn 2.93, 3 Ca 3.20-3.22
Sn 0.4101 0.8202 0.5368  1 Sn 2.93, 3 Ca 3.20-3.22
Sn 0.5000 0.0000 0.0000  4 Ca 3.30, 2 Sn 3.37

Output
* electronic total energy: -3.315 eV/atom
* total moment: 0.0 μB per formula unit
* energy of formation: -0.547 eV per atom